Entry 1:
The following is a DFT calculation (GGA-PBE) of ErZrAgRu after structural relaxation.

**Total moment**: 0.0 μB/f.u.
**Energy of formation**: -28.0 kJ/mol of atoms

Cell and atoms, written as CIF:
```
data_ErZrAgRu
_cell_length_a 6.833
_cell_length_b 6.833
_cell_length_c 6.833
_cell_angle_alpha 90.00
_cell_angle_beta 90.00
_cell_angle_gamma 90.00
_symmetry_space_group_name_H-M 'F -4 3 m'
_symmetry_Int_Tables_number 216
_symmetry_space_group_name_Hall 'F -4 2 3'
loop_
_atom_site_label
_atom_site_fract_x
_atom_site_fract_y
_atom_site_fract_z
Er1 0.000 0.000 0.000
Zr1 0.000 0.000 0.500
Ag1 0.250 0.250 0.250
Ru1 0.250 0.250 0.750
```

Entry 2:
The following is a DFT calculation (GGA-PBE) of DyEr2Pb after structural relaxation.

**Total moment**: 0.0 μB/f.u.
**Energy of formation**: 4.9 kJ/mol of atoms

Cell and atoms, written as CIF:
```
data_DyEr2Pb
_cell_length_a 3.5107
_cell_length_b 3.5107
_cell_length_c 35.7861
_cell_angle_alpha 90.00
_cell_angle_beta 90.00
_cell_angle_gamma 120.00
_symmetry_space_group_name_H-M 'R -3 m'
_symmetry_Int_Tables_number 166
_symmetry_space_group_name_Hall '-R 3 2"'
loop_
_atom_site_label
_atom_site_fract_x
_atom_site_fract_y
_atom_site_fract_z
Dy1 0.0000 0.0000 0.0000
Er1 0.0000 0.0000 0.4119
Pb1 0.0000 0.0000 0.5000
```

Entry 3:
The following is a DFT calculation (GGA-PBE) of Rb3CoOs after structural relaxation.

**Total moment**: 4.0 μB/f.u.
**Energy of formation**: 167.0 kJ/mol of atoms

Cell and atoms, written as CIF:
```
data_Rb3CoOs
_cell_length_a 6.433
_cell_length_b 6.433
_cell_length_c 6.433
_cell_angle_alpha 90.00
_cell_angle_beta 90.00
_cell_angle_gamma 90.00
_symmetry_space_group_name_H-M 'P m -3 m'
_symmetry_Int_Tables_number 221
_symmetry_space_group_name_Hall '-P 4 2 3'
loop_
_atom_site_label
_atom_site_fract_x
_atom_site_fract_y
_atom_site_fract_z
Rb1 0.000 0.000 0.500
Co1 0.500 0.500 0.500
Os1 0.000 0.000 0.000
```

Entry 4:
The following is a DFT calculation (GGA-PBE) of Cr2HgIr after structural relaxation.

**Total moment**: 6.7 μB/f.u.
**Energy of formation**: 45.2 kJ/mol of atoms

Cell and atoms, written as CIF:
```
data_Cr2HgIr
_cell_length_a 4.239
_cell_length_b 4.239
_cell_length_c 3.559
_cell_angle_alpha 90.00
_cell_angle_beta 90.00
_cell_angle_gamma 90.00
_symmetry_space_group_name_H-M 'P 4/m m m'
_symmetry_Int_Tables_number 123
_symmetry_space_group_name_Hall '-P 4 2'
loop_
_atom_site_label
_atom_site_fract_x
_atom_site_fract_y
_atom_site_fract_z
Cr1 0.000 0.500 0.000
Hg1 0.000 0.000 0.500
Ir1 0.500 0.500 0.500
```

Entry 5:
The following is a DFT calculation (GGA-PBE) of Ca2GdTl after structural relaxation.

**Total moment**: 8.3 μB/f.u.
**Energy of formation**: -2.8 kJ/mol of atoms

Cell and atoms, written as CIF:
```
data_Ca2GdTl
_cell_length_a 8.010
_cell_length_b 8.010
_cell_length_c 8.010
_cell_angle_alpha 90.00
_cell_angle_beta 90.00
_cell_angle_gamma 90.00
_symmetry_space_group_name_H-M 'F m -3 m'
_symmetry_Int_Tables_number 225
_symmetry_space_group_name_Hall '-F 4 2 3'
loop_
_atom_site_label
_atom_site_fract_x
_atom_site_fract_y
_atom_site_fract_z
Ca1 0.250 0.250 0.250
Gd1 0.000 0.000 0.000
Tl1 0.000 0.000 0.500
```

Entry 6:
The following is a DFT calculation (GGA-PBE) of LaPr7Pb4 after structural relaxation.

**Total moment**: 0.8 μB/f.u.
**Energy of formation**: -18.3 kJ/mol of atoms

Cell and atoms, written as CIF:
```
data_LaPr7Pb4
_cell_length_a 14.116
_cell_length_b 6.036
_cell_length_c 11.620
_cell_angle_alpha 90.00
_cell_angle_beta 123.75
_cell_angle_gamma 90.00
_symmetry_space_group_name_H-M 'C 1 2/m 1'
_symmetry_Int_Tables_number 12
_symmetry_space_group_name_Hall '-C 2y'
loop_
_atom_site_label
_atom_site_fract_x
_atom_site_fract_y
_atom_site_fract_z
La1 0.000 0.000 0.000
Pr1 0.000 0.500 0.000
Pr2 0.049 0.000 0.369
Pr3 0.173 0.500 0.587
Pr4 0.210 0.000 0.891
Pb1 0.074 0.500 0.772
Pb2 0.205 0.500 0.325
```

Entry 7:
The following is a DFT calculation (GGA-PBE) of AcPuClO4 after structural relaxation.

**E_tot**: -8.35 eV/atom
**Total moment**: 2.0 μB/f.u.

Cell and atoms, written as CIF:
```
data_AcPuClO4
_cell_length_a 15.133
_cell_length_b 7.196
_cell_length_c 5.539
_cell_angle_alpha 90.00
_cell_angle_beta 104.59
_cell_angle_gamma 90.00
_symmetry_space_group_name_H-M 'C 1 2/m 1'
_symmetry_Int_Tables_number 12
_symmetry_space_group_name_Hall '-C 2y'
loop_
_atom_site_label
_atom_site_fract_x
_atom_site_fract_y
_atom_site_fract_z
Ac1 0.183 0.000 0.424
Pu1 0.117 0.500 0.031
Cl1 0.076 0.000 0.823
O1 0.034 0.500 0.237
O2 0.185 0.500 0.800
O3 0.198 0.313 0.267
```

Entry 8:
The following is a DFT calculation (GGA-PBE) of GdErThMg after structural relaxation.

**Total moment**: 8.1 μB/f.u.
**Energy of formation**: 8.1 kJ/mol of atoms

Cell and atoms, written as CIF:
```
data_GdErThMg
_cell_length_a 7.810
_cell_length_b 7.810
_cell_length_c 7.810
_cell_angle_alpha 90.00
_cell_angle_beta 90.00
_cell_angle_gamma 90.00
_symmetry_space_group_name_H-M 'F -4 3 m'
_symmetry_Int_Tables_number 216
_symmetry_space_group_name_Hall 'F -4 2 3'
loop_
_atom_site_label
_atom_site_fract_x
_atom_site_fract_y
_atom_site_fract_z
Gd1 0.000 0.000 0.000
Er1 0.250 0.250 0.250
Th1 0.000 0.000 0.500
Mg1 0.250 0.250 0.750
```

Entry 9:
The following is a DFT calculation (GGA-PBE) of BaLi4HgPb2 after structural relaxation.

**Total moment**: 0.0 μB/f.u.
**Energy of formation**: -32.6 kJ/mol of atoms

Cell and atoms, written as CIF:
```
data_BaLi4HgPb2
_cell_length_a 4.8737
_cell_length_b 4.8737
_cell_length_c 29.2486
_cell_angle_alpha 90.00
_cell_angle_beta 90.00
_cell_angle_gamma 120.00
_symmetry_space_group_name_H-M 'R -3 m'
_symmetry_Int_Tables_number 166
_symmetry_space_group_name_Hall '-R 3 2"'
loop_
_atom_site_label
_atom_site_fract_x
_atom_site_fract_y
_atom_site_fract_z
Ba1 0.0000 0.0000 0.0000
Li1 0.0000 0.0000 0.1361
Li2 0.0000 0.0000 0.4119
Hg1 0.0000 0.0000 0.5000
Pb1 0.0000 0.0000 0.2477
```

Entry 10:
The following is a DFT calculation (GGA-PBE) of Ag7S3Cl2 after structural relaxation.

**E_tot**: -3.12 eV/atom
**Total moment**: 0.0 μB/f.u.

Cell and atoms, written as CIF:
```
data_Ag7S3Cl2
_cell_length_a 30.077
_cell_length_b 6.106
_cell_length_c 6.066
_cell_angle_alpha 90.00
_cell_angle_beta 90.00
_cell_angle_gamma 90.00
_symmetry_space_group_name_H-M 'C m c 21'
_symmetry_Int_Tables_number 36
_symmetry_space_group_name_Hall 'C 2c -2'
loop_
_atom_site_label
_atom_site_fract_x
_atom_site_fract_y
_atom_site_fract_z
Ag1 0.000 0.011 0.000
Ag2 0.057 0.390 0.448
Ag3 0.170 0.041 0.282
Ag4 0.246 0.230 0.855
S1 0.000 0.312 0.739
S2 0.187 0.306 0.584
Cl1 0.100 0.233 0.127
```

Entry 11:
The following is a DFT calculation (GGA-PBE) of SrThAg4 after structural relaxation.

**Total moment**: 0.0 μB/f.u.
**Energy of formation**: -1.4 kJ/mol of atoms

Cell and atoms, written as CIF:
```
data_SrThAg4
_cell_length_a 8.279
_cell_length_b 8.279
_cell_length_c 8.279
_cell_angle_alpha 90.00
_cell_angle_beta 90.00
_cell_angle_gamma 90.00
_symmetry_space_group_name_H-M 'F -4 3 m'
_symmetry_Int_Tables_number 216
_symmetry_space_group_name_Hall 'F -4 2 3'
loop_
_atom_site_label
_atom_site_fract_x
_atom_site_fract_y
_atom_site_fract_z
Sr1 0.000 0.000 0.000
Th1 0.250 0.250 0.750
Ag1 0.125 0.125 0.375
```

Entry 12:
The following is a DFT calculation (GGA-PBE) of SrCr5 after structural relaxation.

**Total moment**: 4.9 μB/f.u.
**Energy of formation**: 46.1 kJ/mol of atoms

Cell and atoms, written as CIF:
```
data_SrCr5
_cell_length_a 3.014
_cell_length_b 3.014
_cell_length_c 10.906
_cell_angle_alpha 90.00
_cell_angle_beta 90.00
_cell_angle_gamma 90.00
_symmetry_space_group_name_H-M 'P 4/m m m'
_symmetry_Int_Tables_number 123
_symmetry_space_group_name_Hall '-P 4 2'
loop_
_atom_site_label
_atom_site_fract_x
_atom_site_fract_y
_atom_site_fract_z
Sr1 0.000 0.000 0.000
Cr1 0.000 0.000 0.364
Cr2 0.500 0.500 0.243
Cr3 0.500 0.500 0.500
```

Entry 13:
The following is a DFT calculation (GGA-PBE) of In2PAu after structural relaxation.

**Total moment**: 0.0 μB/f.u.
**Energy of formation**: -3.0 kJ/mol of atoms

Cell and atoms, written as CIF:
```
data_In2PAu
_cell_length_a 3.9623
_cell_length_b 3.9623
_cell_length_c 20.1069
_cell_angle_alpha 90.00
_cell_angle_beta 90.00
_cell_angle_gamma 120.00
_symmetry_space_group_name_H-M 'R 3 m'
_symmetry_Int_Tables_number 160
_symmetry_space_group_name_Hall 'R 3 -2"'
loop_
_atom_site_label
_atom_site_fract_x
_atom_site_fract_y
_atom_site_fract_z
In1 0.0000 0.0000 0.0000
In2 0.0000 0.0000 0.1781
P1 0.0000 0.0000 0.5946
Au1 0.0000 0.0000 0.7571
```

Entry 14:
The following is a DFT calculation (GGA-PBE) of CdInNi2 after structural relaxation.

**Total moment**: 0.0 μB/f.u.
**Energy of formation**: 15.2 kJ/mol of atoms

Cell and atoms, written as CIF:
```
data_CdInNi2
_cell_length_a 6.321
_cell_length_b 6.321
_cell_length_c 6.321
_cell_angle_alpha 90.00
_cell_angle_beta 90.00
_cell_angle_gamma 90.00
_symmetry_space_group_name_H-M 'F -4 3 m'
_symmetry_Int_Tables_number 216
_symmetry_space_group_name_Hall 'F -4 2 3'
loop_
_atom_site_label
_atom_site_fract_x
_atom_site_fract_y
_atom_site_fract_z
Cd1 0.000 0.000 0.000
In1 0.250 0.250 0.250
Ni1 0.000 0.000 0.500
Ni2 0.250 0.250 0.750
```

Entry 15:
The following is a DFT calculation (GGA-PBE) of Tb3Nd4Ho after structural relaxation.

**Total moment**: 0.0 μB/f.u.
**Energy of formation**: 15.7 kJ/mol of atoms

Cell and atoms, written as CIF:
```
data_Tb3Nd4Ho
_cell_length_a 23.626
_cell_length_b 3.505
_cell_length_c 6.854
_cell_angle_alpha 90.00
_cell_angle_beta 106.71
_cell_angle_gamma 90.00
_symmetry_space_group_name_H-M 'C 1 2/m 1'
_symmetry_Int_Tables_number 12
_symmetry_space_group_name_Hall '-C 2y'
loop_
_atom_site_label
_atom_site_fract_x
_atom_site_fract_y
_atom_site_fract_z
Tb1 0.000 0.000 0.000
Tb2 0.122 0.000 0.382
Nd1 0.123 0.000 0.867
Nd2 0.241 0.500 0.736
Ho1 0.000 0.500 0.500
```

Entry 16:
The following is a DFT calculation (GGA-PBE) of KZnCd2 after structural relaxation.

**Total moment**: 0.0 μB/f.u.
**Energy of formation**: 16.1 kJ/mol of atoms

Cell and atoms, written as CIF:
```
data_KZnCd2
_cell_length_a 6.499
_cell_length_b 11.696
_cell_length_c 3.132
_cell_angle_alpha 90.00
_cell_angle_beta 113.88
_cell_angle_gamma 90.00
_symmetry_space_group_name_H-M 'C 1 2/m 1'
_symmetry_Int_Tables_number 12
_symmetry_space_group_name_Hall '-C 2y'
loop_
_atom_site_label
_atom_site_fract_x
_atom_site_fract_y
_atom_site_fract_z
K1 0.000 0.000 0.000
Zn1 0.000 0.500 0.000
Cd1 0.250 0.250 0.500
```

Entry 17:
The following is a DFT calculation (GGA-PBE) of SrZn2Pt after structural relaxation.

**Total moment**: 0.0 μB/f.u.
**Energy of formation**: -28.3 kJ/mol of atoms

Cell and atoms, written as CIF:
```
data_SrZn2Pt
_cell_length_a 4.509
_cell_length_b 4.509
_cell_length_c 7.798
_cell_angle_alpha 90.00
_cell_angle_beta 90.00
_cell_angle_gamma 90.00
_symmetry_space_group_name_H-M 'I 4/m m m'
_symmetry_Int_Tables_number 139
_symmetry_space_group_name_Hall '-I 4 2'
loop_
_atom_site_label
_atom_site_fract_x
_atom_site_fract_y
_atom_site_fract_z
Sr1 0.000 0.000 0.000
Zn1 0.000 0.500 0.250
Pt1 0.000 0.000 0.500
```

Entry 18:
The following is a DFT calculation (GGA-PBE) of LuCdAg2 after structural relaxation.

**Total moment**: 0.0 μB/f.u.
**Energy of formation**: -24.5 kJ/mol of atoms

Cell and atoms, written as CIF:
```
data_LuCdAg2
_cell_length_a 6.906
_cell_length_b 6.906
_cell_length_c 6.906
_cell_angle_alpha 90.00
_cell_angle_beta 90.00
_cell_angle_gamma 90.00
_symmetry_space_group_name_H-M 'F m -3 m'
_symmetry_Int_Tables_number 225
_symmetry_space_group_name_Hall '-F 4 2 3'
loop_
_atom_site_label
_atom_site_fract_x
_atom_site_fract_y
_atom_site_fract_z
Lu1 0.000 0.000 0.000
Cd1 0.000 0.000 0.500
Ag1 0.250 0.250 0.250
```

Entry 19:
The following is a DFT calculation (GGA-PBE) of SrCu2SeS after structural relaxation.

**E_tot**: -4.37 eV/atom
**Total moment**: 0.0 μB/f.u.

Cell and atoms, written as CIF:
```
data_SrCu2SeS
_cell_length_a 4.064
_cell_length_b 12.314
_cell_length_c 7.912
_cell_angle_alpha 90.00
_cell_angle_beta 90.00
_cell_angle_gamma 90.00
_symmetry_space_group_name_H-M 'C m c m'
_symmetry_Int_Tables_number 63
_symmetry_space_group_name_Hall '-C 2c 2'
loop_
_atom_site_label
_atom_site_fract_x
_atom_site_fract_y
_atom_site_fract_z
Sr1 0.000 0.054 0.250
Cu1 0.000 0.314 0.055
Se1 0.000 0.229 0.750
S1 0.000 0.500 0.000
```